PBE TaTiAg2Ge, optimized geometry; excess energy over the best structure of this formula in the dataset = 0.0 meV/atom; calculated total energy = -4.74 eV per atom; magnetic moment = 0.00 μB/f.u.; SG = P4/mmm (123)
1.0
5.029 0.000 0.000
0.000 4.864 0.000
0.000 0.000 5.029
Ge Ti Ag Ta
1 1 2 1
Cartesian
0.000 2.432 0.000
2.515 2.432 2.515
0.000 0.000 2.515
2.515 0.000 0.000
0.000 0.000 0.000